Entry 1:
# Fe2AgMo

An optimized crystal structure of Fe2AgMo (PBEsol, Alexandria). Values from VASP.

The structure in Quantum ESPRESSO input format:
```
&SYSTEM
  ibrav = 0, nat = 4, ntyp = 3
/
ATOMIC_SPECIES
Fe 55.84 Fe.upf
Ag 107.87 Ag.upf
Mo 95.94 Mo.upf
CELL_PARAMETERS angstrom
1.546 -2.097 0.000
1.546 2.097 0.000
0.000 0.000 8.399
ATOMIC_POSITIONS crystal
Fe 0.000 0.000 0.241
Fe 0.000 0.000 0.759
Ag 0.500 0.500 0.500
Mo 0.500 0.500 0.000
```

Summary:
Energy relative to the elements in eV/atom: 0.301
Magnetization in μB/f.u.: 4.41
Symmetry: Cmmm (65)
ρ in kg/m3: 9620
Polymorph energy (0 for the lowest one) in meV/atom: 0

***

Entry 2:
# LiAlPt

An optimized crystal structure of LiAlPt (PBEsol, Alexandria). Values from VASP.

The structure in Quantum ESPRESSO input format:
```
&SYSTEM
  ibrav = 0, nat = 3, ntyp = 3
/
ATOMIC_SPECIES
Li 6.94 Li.upf
Al 26.98 Al.upf
Pt 195.08 Pt.upf
CELL_PARAMETERS angstrom
-1.399 1.828 3.982
1.399 -1.828 3.982
1.399 1.828 -3.982
ATOMIC_POSITIONS crystal
Li 0.000 0.000 0.000
Al 0.322 0.322 0.000
Pt 0.665 0.665 0.000
```

Summary:
Energy relative to the elements in eV/atom: -0.738
Magnetization in μB/f.u.: 0.00
Symmetry: Imm2 (44)
ρ in kg/m3: 9338
Polymorph energy (0 for the lowest one) in meV/atom: 0

***

Entry 3:
# RbHg2Au

An optimized crystal structure of RbHg2Au (PBEsol, Alexandria). Values from VASP.

The structure in Quantum ESPRESSO input format:
```
&SYSTEM
  ibrav = 0, nat = 8, ntyp = 3
/
ATOMIC_SPECIES
Rb 85.47 Rb.upf
Hg 200.59 Hg.upf
Au 196.97 Au.upf
CELL_PARAMETERS angstrom
-2.777 2.777 9.329
2.777 -2.777 9.329
2.777 2.777 -9.329
ATOMIC_POSITIONS crystal
Rb 0.000 0.000 0.000
Rb 0.750 0.250 0.500
Hg 0.305 0.625 0.180
Hg 0.375 0.555 0.680
Hg 0.445 0.125 0.820
Hg 0.875 0.695 0.320
Au 0.250 0.750 0.500
Au 0.500 0.500 0.000
```

Summary:
Energy relative to the elements in eV/atom: -0.073
Magnetization in μB/f.u.: 0.00
Symmetry: I-42d (122)
ρ in kg/m3: 7888

***

| no. | VASP energy (eV/atom) |
| --- | --- |
| 1 | -7.95 |
| 2 | -5.08 |
| 3 | -1.59 |